(1)
Density functional theory data (PBE) for Tl2Ga3Sn2 after structural relaxation.

calculated volume: 25.892 Å³/atom
formation energy: 39 meV/atom
magnetic moment: 0.0 μB/f.u.

```
Tl2Ga3Sn2
1.0
4.2475 0.0000 1.6191
1.3646 6.0502 2.8011
-0.2191 -0.0352 6.9558
Tl Ga Sn
2 3 2
Direct
0.1571 0.4825 0.2032
0.8429 0.5175 0.7968
0.5000 0.0000 0.0000
0.4327 0.7174 0.4172
0.5673 0.2826 0.5828
0.1571 0.9701 0.7157
0.8429 0.0299 0.2843
```

=====

(2)
Density functional theory data (PBE) for TlGa3Sn2 after structural relaxation.

calculated volume: 25.080 Å³/atom
formation energy: 50 meV/atom
magnetic moment: 0.0 μB/f.u.

```
TlGa3Sn2
1.0
-3.7773 0.5647 0.9210
0.3288 2.5776 -8.6117
-1.0793 -9.5332 1.4187
Tl Ga Sn
2 6 4
Direct
0.8678 0.7357 0.0075
0.1322 0.2643 0.9925
0.3067 0.6135 0.5108
0.9425 0.8851 0.5682
0.5723 0.1446 0.6696
0.4277 0.8554 0.3304
0.0575 0.1149 0.4318
0.6933 0.3865 0.4892
0.4499 0.8999 0.8085
0.5501 0.1001 0.1915
0.7834 0.5669 0.2649
0.2166 0.4331 0.7351
```

=====

(3)
Density functional theory data (PBE) for TlGaSn after structural relaxation.

calculated volume: 28.300 Å³/atom
formation energy: 81 meV/atom
magnetic moment: 0.0 μB/f.u.
polymorph energy (0 for the lowest one): 0.068 eV/atom

```
TlGaSn
1.0
-2.2879 -1.0346 -4.2465
-2.2349 -4.3569 -0.6000
-4.9249 -0.2458 -0.1523
Tl Sn Ga
1 1 1
Direct
0.5000 0.5000 0.5000
0.0000 0.0000 0.0000
0.2500 0.2500 0.2500
```

=====

(4)
Density functional theory data (PBE) for TlGaSn after structural relaxation.

calculated volume: 26.239 Å³/atom
formation energy: 67 meV/atom
magnetic moment: 0.0 μB/f.u.
polymorph energy (0 for the lowest one): 0.055 eV/atom

```
TlGaSn
1.0
-0.9188 3.3555 -1.2400
-2.8429 0.0922 2.3560
5.2734 0.6832 3.4416
Tl Sn Ga
1 1 1
Direct
0.0067 0.0067 0.0135
0.3148 0.3148 0.6296
0.6785 0.6785 0.3570
```

=====

(5)
Density functional theory data (PBE) for TlGa3Sn after structural relaxation.

calculated volume: 25.084 Å³/atom
formation energy: 75 meV/atom
magnetic moment: 0.0 μB/f.u.
polymorph energy (0 for the lowest one): 0.007 eV/atom

```
TlGa3Sn
1.0
5.6673 0.0000 0.0000
0.0000 5.3963 0.0000
0.0000 -2.6981 8.2020
Tl Ga Sn
2 6 2
Direct
0.7500 0.1971 0.3943
0.2500 0.8029 0.6057
0.7500 0.6228 0.7487
0.7500 0.1259 0.7487
0.2500 0.8741 0.2513
0.2500 0.3772 0.2513
0.0000 0.0000 0.0000
0.5000 0.0000 0.0000
0.7500 0.5606 0.1212
0.2500 0.4394 0.8788
```

=====

(6)
Density functional theory data (PBE) for TlGa2Sn3 after structural relaxation.

calculated volume: 26.052 Å³/atom
formation energy: 40 meV/atom
magnetic moment: 0.0 μB/f.u.
polymorph energy (0 for the lowest one): 0.000 eV/atom

```
TlGa2Sn3
1.0
4.5629 0.0000 -1.1568
-0.9775 7.7356 -3.8556
-0.0704 -0.8015 9.2999
Tl Ga Sn
2 4 6
Direct
0.1120 0.0467 0.2239
0.8880 0.9533 0.7761
0.5260 0.1782 0.0520
0.4740 0.8218 0.9480
0.2324 0.8848 0.4647
0.7676 0.1152 0.5353
0.7140 0.3727 0.4279
0.0690 0.4370 0.1379
0.3958 0.2773 0.7916
0.6042 0.7227 0.2084
0.9310 0.5630 0.8621
0.2860 0.6273 0.5721
```

=====

(7)
Density functional theory data (PBE) for TlGaSn3 after structural relaxation.

calculated volume: 28.132 Å³/atom
formation energy: 47 meV/atom
magnetic moment: 0.0 μB/f.u.
polymorph energy (0 for the lowest one): 0.000 eV/atom

```
TlGaSn3
1.0
-3.6612 3.1176 -0.3970
-5.1704 -5.6988 2.9295
3.5271 1.2389 6.5232
Tl Ga Sn
2 2 6
Direct
0.3524 0.0041 0.7048
0.6476 0.9959 0.2952
0.2126 0.2970 0.4253
0.7874 0.7030 0.5747
0.9885 0.8158 0.9770
0.0115 0.1842 0.0230
0.5906 0.4131 0.1812
0.4094 0.5869 0.8188
0.8256 0.3471 0.6512
0.1744 0.6529 0.3488
```

=====

(8)
Density functional theory data (PBE) for Tl3Ga4Sn2 after structural relaxation.

calculated volume: 26.876 Å³/atom
formation energy: 45 meV/atom
magnetic moment: 0.0 μB/f.u.

```
Tl3Ga4Sn2
1.0
-3.7521 2.2452 0.2264
-0.7320 -5.1571 -3.3266
-1.6687 -3.6765 8.8060
Tl Ga Sn
3 4 2
Direct
0.6054 0.2107 0.7256
0.0000 0.0000 0.0000
0.3946 0.7893 0.2744
0.7129 0.4257 0.0496
0.2871 0.5743 0.9504
0.8951 0.7902 0.5354
0.1049 0.2098 0.4646
0.6831 0.3661 0.3249
0.3169 0.6339 0.6751
```

=====

(9)
Density functional theory data (PBE) for TlGaSn3 after structural relaxation.

calculated volume: 31.777 Å³/atom
formation energy: 317 meV/atom
magnetic moment: 0.0 μB/f.u.
polymorph energy (0 for the lowest one): 0.270 eV/atom

```
TlGaSn3
1.0
5.4162 0.0000 0.0000
0.0000 5.4162 0.0000
0.0000 0.0000 5.4162
Tl Sn Ga
1 3 1
Direct
0.5000 0.5000 0.5000
0.0000 0.5000 0.0000
0.0000 0.0000 0.5000
0.5000 0.0000 0.0000
0.0000 0.0000 0.0000
```

=====

(10)
Density functional theory data (PBE) for TlGaSn2 after structural relaxation.

calculated volume: 26.349 Å³/atom
formation energy: 102 meV/atom
magnetic moment: 0.0 μB/f.u.
polymorph energy (0 for the lowest one): 0.076 eV/atom

```
TlGaSn2
1.0
0.0000 3.7491 3.7491
3.7491 0.0000 3.7491
3.7491 3.7491 0.0000
Tl Sn Ga
1 2 1
Direct
0.5000 0.5000 0.5000
0.2500 0.2500 0.2500
0.7500 0.7500 0.7500
0.0000 0.0000 0.0000
```

=====

(11)
Density functional theory data (PBE) for Tl3GaSn after structural relaxation.

calculated volume: 39.749 Å³/atom
formation energy: 493 meV/atom
magnetic moment: 0.0 μB/f.u.
polymorph energy (0 for the lowest one): 0.431 eV/atom

```
Tl3GaSn
1.0
-2.9748 2.4981 -4.3551
2.7793 -3.3964 -3.8466
-4.1812 -4.0349 0.5416
Tl Sn Ga
3 1 1
Direct
0.0000 0.5000 0.0000
0.0000 0.0000 0.5000
0.5000 0.0000 0.0000
0.0000 0.0000 0.0000
0.5000 0.5000 0.5000
```

=====

(12)
Density functional theory data (PBE) for TlGaSn after structural relaxation.

calculated volume: 29.204 Å³/atom
formation energy: 61 meV/atom
magnetic moment: 0.0 μB/f.u.
polymorph energy (0 for the lowest one): 0.049 eV/atom

```
TlGaSn
1.0
-4.2371 1.5807 0.2430
-2.5591 0.2095 -3.7831
-5.3201 -8.1417 2.3978
Sn Ga Tl
2 2 2
Direct
0.8330 0.0269 0.3070
0.1670 0.9731 0.6930
0.5567 0.2837 0.6029
0.4433 0.7163 0.3971
0.2733 0.3425 0.1109
0.7267 0.6575 0.8891
```

=====

(13)
Density functional theory data (PBE) for TlGaSn3 after structural relaxation.

calculated volume: 32.643 Å³/atom
formation energy: 144 meV/atom
magnetic moment: 0.0 μB/f.u.
polymorph energy (0 for the lowest one): 0.097 eV/atom

```
TlGaSn3
1.0
4.4773 0.0000 0.0000
0.0000 4.4773 0.0000
0.0000 0.0000 8.1421
Tl Ga Sn
1 1 3
Direct
0.0000 0.0000 0.0839
0.5000 0.5000 0.6884
0.0000 0.0000 0.6887
0.5000 0.0000 0.4014
0.0000 0.5000 0.4014
```

=====

(14)
Density functional theory data (PBE) for Tl2GaSn after structural relaxation.

calculated volume: 28.497 Å³/atom
formation energy: 128 meV/atom
magnetic moment: 0.0 μB/f.u.
polymorph energy (0 for the lowest one): 0.079 eV/atom

```
Tl2GaSn
1.0
-1.5663 -1.9148 2.2596
-2.1146 -2.3944 -1.0107
7.6322 -9.1083 0.0560
Tl Sn Ga
2 1 1
Direct
0.0845 0.0845 0.7466
0.9155 0.9155 0.2534
0.5000 0.5000 0.5000
0.0000 0.0000 0.0000
```

=====

(15)
Density functional theory data (PBE) for TlGa6Sn2 after structural relaxation.

calculated volume: 23.729 Å³/atom
formation energy: 73 meV/atom
magnetic moment: 0.0 μB/f.u.
polymorph energy (0 for the lowest one): 0.013 eV/atom

```
TlGa6Sn2
1.0
-1.7466 -1.6259 -3.5233
1.1906 -6.8077 2.5514
-6.4013 3.7472 2.3497
Tl Ga Sn
1 6 2
Direct
0.0000 0.0000 0.0000
0.6817 0.0018 0.3723
0.3183 0.9982 0.6277
0.3183 0.6295 0.6277
0.5000 0.3078 0.0000
0.5000 0.6922 0.0000
0.6817 0.3705 0.3723
0.9438 0.3739 0.7479
0.0562 0.6261 0.2521
```

=====

(16)
Density functional theory data (PBE) for Tl2Ga7Sn2 after structural relaxation.

calculated volume: 23.161 Å³/atom
formation energy: 51 meV/atom
magnetic moment: 0.0 μB/f.u.

```
Tl2Ga7Sn2
1.0
-2.9589 2.2211 -4.7372
-6.0949 -2.2783 1.5103
-0.3184 6.3776 1.9607
Tl Ga Sn
2 7 2
Direct
0.4031 0.1987 0.1987
0.5969 0.8013 0.8013
0.1486 0.0603 0.6182
0.8514 0.3818 0.9397
0.8514 0.9397 0.3818
0.1486 0.6182 0.0603
0.0000 0.0000 0.0000
0.8776 0.3774 0.3774
0.1224 0.6226 0.6226
0.5000 0.3061 0.6939
0.5000 0.6939 0.3061
```

=====

(17)
Density functional theory data (PBE) for Tl2GaSn7 after structural relaxation.

calculated volume: 30.474 Å³/atom
formation energy: 85 meV/atom
magnetic moment: 0.0 μB/f.u.

```
Tl2GaSn7
1.0
4.5768 0.0000 0.0000
0.0000 4.5768 0.0000
0.0000 0.0000 14.5478
Tl Ga Sn
2 1 7
Direct
0.5000 0.0000 0.7534
0.0000 0.5000 0.2466
0.5000 0.5000 0.0000
0.0000 0.5000 0.8649
0.5000 0.0000 0.3506
0.5000 0.0000 0.1351
0.0000 0.5000 0.6494
0.0000 0.0000 0.5000
0.0000 0.0000 0.0000
0.5000 0.5000 0.5000
```

=====

(18)
Density functional theory data (PBE) for TlGaSn after structural relaxation.

calculated volume: 26.961 Å³/atom
formation energy: 13 meV/atom
magnetic moment: 0.0 μB/f.u.
polymorph energy (0 for the lowest one): 0.001 eV/atom

```
TlGaSn
1.0
4.7725 0.0686 0.0271
2.3688 5.8570 0.1152
2.4182 0.2104 5.8378
Tl Ga Sn
2 2 2
Direct
0.1998 0.9469 0.1384
0.6995 0.6109 0.4749
0.3610 0.2130 0.5466
0.0396 0.5375 0.8712
0.8818 0.0030 0.7152
0.5173 0.3706 0.0820
```

=====

(19)
Density functional theory data (PBE) for TlGaSn3 after structural relaxation.

calculated volume: 38.293 Å³/atom
formation energy: 743 meV/atom
magnetic moment: 0.0 μB/f.u.
polymorph energy (0 for the lowest one): 0.696 eV/atom

```
TlGaSn3
1.0
-3.9824 -0.3740 -4.1497
-2.0153 -4.8513 2.3713
-3.6467 3.0895 3.2212
Tl Sn Ga
1 3 1
Direct
0.0000 0.0000 0.0000
0.0000 0.5000 0.0000
0.0000 0.0000 0.5000
0.5000 0.0000 0.0000
0.5000 0.5000 0.5000
```

=====

(20)
Density functional theory data (PBE) for TlGaSn2W after structural relaxation.

calculated volume: 30.385 Å³/atom
formation energy: 563 meV/atom
magnetic moment: 0.0 μB/f.u.

```
TlGaSn2W
1.0
-3.2926 3.3590 2.3982
2.4659 -0.9814 4.7602
3.3657 3.9609 -0.9268
Tl Ga Sn W
1 1 2 1
Direct
0.0000 0.5000 0.0000
0.5000 0.5000 0.5000
0.0000 0.0000 0.5000
0.5000 0.0000 0.0000
0.0000 0.0000 0.0000
```